Record 1
Here is an optimized crystal structure of Mg3BO6 from Alexandria via LeMat-Bulk. Energies are from PBE.

## Properties
- Calculated total energy: -6.06 eV per atom
- Space group: P6_3/m

a b c (Å): 9.0975 9.0975 3.2005
angles (deg): 90.00 90.00 120.00
Site moments in Bohr magnetons follow the coordinates.
Sites, in units of the cell vectors:
Mg 0.0334 0.6640 0.2500  -0.01
O 0.3157 0.2219 0.7500  0.69
O 0.6843 0.7781 0.2500  0.69
Mg 0.6640 0.6306 0.7500  -0.01
Mg 0.3360 0.3694 0.2500  -0.01
B 0.6667 0.3333 0.2500  -0.01
Mg 0.3694 0.0334 0.7500  -0.01
O 0.5966 0.4391 0.2500  0.12
O 0.0938 0.3157 0.2500  0.69
O 0.7781 0.0938 0.7500  0.69
O 0.8425 0.4034 0.2500  0.12
Mg 0.9666 0.3360 0.7500  -0.01
O 0.4034 0.5609 0.7500  0.12
O 0.2219 0.9062 0.2500  0.69
B 0.3333 0.6667 0.7500  -0.01
Mg 0.6306 0.9666 0.2500  -0.01
O 0.1575 0.5966 0.7500  0.12
O 0.9062 0.6843 0.7500  0.69
O 0.5609 0.1575 0.2500  0.12
O 0.4391 0.8425 0.7500  0.12



Record 2
Here is an optimized crystal structure of Pm12ZnGe6 from Alexandria via LeMat-Bulk. Energies are from PBE.

## Properties
- Calculated total energy: -4.97 eV per atom
- DFT formation energy: -446 meV per atom
- Space group: R-3

a b c (Å): 8.6194 8.6194 8.6194
angles (deg): 100.64 100.64 100.64
Sites, in units of the cell vectors:
Ge 0.3849 0.6866 0.8703
Pm 0.6735 0.9343 0.0558
Ge 0.6151 0.3134 0.1297
Pm 0.8148 0.5839 0.4406
Pm 0.9343 0.0558 0.6735
Pm 0.0657 0.9442 0.3265
Pm 0.4161 0.5594 0.1852
Pm 0.4406 0.8148 0.5839
Zn 0.0000 0.0000 0.0000
Ge 0.8703 0.3849 0.6866
Pm 0.1852 0.4161 0.5594
Pm 0.9442 0.3265 0.0657
Ge 0.3134 0.1297 0.6151
Ge 0.1297 0.6151 0.3134
Pm 0.0558 0.6735 0.9343
Pm 0.3265 0.0657 0.9442
Pm 0.5594 0.1852 0.4161
Ge 0.6866 0.8703 0.3849
Pm 0.5839 0.4406 0.8148



Record 3
Here is an optimized crystal structure of BaAlAs3 from Alexandria via LeMat-Bulk. Energies are from PBE.

## Properties
- Excess energy over the best structure of this formula in the dataset: 1453.5 meV per atom
- Calculated total energy: -2.75 eV per atom
- DFT formation energy: 1174 meV per atom
- Space group: Pm-3m

a b c (Å): 5.8588 5.8588 5.8588
angles (deg): 90.00 90.00 90.00
Sites, in units of the cell vectors:
As 0.5000 0.0000 0.0000
Al 0.5000 0.5000 0.5000
As 0.0000 0.5000 0.0000
Ba 0.0000 0.0000 0.0000
As 0.0000 0.0000 0.5000



Record 4
Here is an optimized crystal structure of HoPaCo10 from Alexandria via LeMat-Bulk. Energies are from PBE.

## Properties
- Calculated total energy: -7.25 eV per atom
- DFT formation energy: -156 meV per atom
- Space group: Pmmm

a b c (Å): 4.0005 4.8485 8.4209
angles (deg): 90.00 90.00 90.00
Site moments in Bohr magnetons follow the coordinates.
Sites, in units of the cell vectors:
Co 0.0000 0.0000 0.6589  1.21
Co 0.0000 0.5000 0.8131  1.27
Co 0.5000 0.2442 0.2460  1.47
Co 0.5000 0.2442 0.7540  1.47
Co 0.0000 0.0000 0.3411  1.21
Co 0.5000 0.7558 0.7540  1.47
Co 0.0000 0.5000 0.1869  1.27
Co 0.5000 0.5000 0.0000  1.51
Co 0.5000 0.0000 0.5000  1.40
Ho 0.0000 0.0000 0.0000  -0.35
Co 0.5000 0.7558 0.2460  1.47
Pa 0.0000 0.5000 0.5000  -0.84



Record 5
Here is an optimized crystal structure of Ti12Ga3Sn from Alexandria via LeMat-Bulk. Energies are from PBE.

## Properties
- Calculated total energy: -7.04 eV per atom
- DFT formation energy: -298 meV per atom
- Space group: Pmmm

a b c (Å): 5.1109 5.1134 10.2358
angles (deg): 90.00 90.00 90.00
Sites, in units of the cell vectors:
Ti 0.0000 0.2521 0.2442
Ga 0.0000 0.0000 0.0000
Ti 0.2567 0.5000 0.5000
Ga 0.5000 0.5000 0.7501
Ti 0.0000 0.7479 0.7558
Ti 0.0000 0.7479 0.2442
Ti 0.7433 0.5000 0.5000
Ga 0.5000 0.5000 0.2499
Ti 0.5000 0.0000 0.3692
Ti 0.7506 0.5000 0.0000
Ti 0.5000 0.0000 0.6308
Ti 0.0000 0.2521 0.7558
Ti 0.5000 0.0000 0.8780
Sn 0.0000 0.0000 0.5000
Ti 0.2494 0.5000 0.0000
Ti 0.5000 0.0000 0.1220